[1]
The following is a DFT calculation (PBE with a Hubbard U) of an optimized crystal structure of MnNiGe2O.

Cell lengths 5.049, 5.049, 3.562 Å; angles 90.00, 90.00, 90.00 degrees
Space group P4/mmm (No. 123)
Inequivalent atoms, fractional coordinates:
Mn 0.000 0.000 0.000 (multiplicity 1)
Ni 0.500 0.500 0.500 (multiplicity 1)
Ge 0.000 0.500 0.000 (multiplicity 2)
O 0.000 0.000 0.500 (multiplicity 1)

- Uncorrected energy: -4.432 eV/atom
- Volume: 91 Å³ per cell

---

[2]
The following is a DFT calculation (PBE with a Hubbard U) of an optimized crystal structure of Mn2NiGeO.

Cell lengths 4.062, 4.062, 4.604 Å; angles 90.00, 90.00, 90.00 degrees
Space group P4/mmm (No. 123)
Inequivalent atoms, fractional coordinates:
Mn 0.000 0.500 0.000 (multiplicity 2)
Ni 0.000 0.000 0.500 (multiplicity 1)
Ge 0.500 0.500 0.500 (multiplicity 1)
O 0.500 0.500 0.000 (multiplicity 1)

- Uncorrected energy: -5.252 eV/atom
- Volume: 76 Å³ per cell

---

[3]
The following is a DFT calculation (PBE with a Hubbard U) of an optimized crystal structure of MnNiGeO2.

Cell lengths 3.816, 3.816, 4.681 Å; angles 90.00, 90.00, 90.00 degrees
Space group P4/mmm (No. 123)
Inequivalent atoms, fractional coordinates:
Mn 0.000 0.000 0.000 (multiplicity 1)
Ni 0.500 0.500 0.500 (multiplicity 1)
Ge 0.500 0.500 0.000 (multiplicity 1)
O 0.000 0.500 0.500 (multiplicity 2)

- Uncorrected energy: -4.782 eV/atom
- Volume: 68 Å³ per cell

---

Which of these has the highest volume?
MnNiGe2O